Entry 1:
FeRe2Si: relaxed, GGA-PBE.

- SG = I-4m2, No. 119
- VASP energy (eV/cell) = -77.428

Geometry as CIF:
```
data_FeRe2Si
_chemical_formula_sum 'Fe2 Re4 Si2'
_cell_length_a 3.802
_cell_length_b 3.802
_cell_length_c 7.458
_cell_angle_alpha 90.00
_cell_angle_beta 90.00
_cell_angle_gamma 90.00
_space_group_name_H-M_alt 'P 1'
_space_group_IT_number 1
loop_
_space_group_symop_operation_xyz
'x,y,z'
loop_
_atom_site_label
_atom_site_type_symbol
_atom_site_fract_x
_atom_site_fract_y
_atom_site_fract_z
Fe1 Fe 0.000 0.000 0.000
Fe2 Fe 0.500 0.500 0.500
Re1 Re 0.000 0.000 0.500
Re2 Re 0.000 0.500 0.750
Re3 Re 0.500 0.000 0.250
Re4 Re 0.500 0.500 0.000
Si1 Si 0.000 0.500 0.250
Si2 Si 0.500 0.000 0.750
```

---

Entry 2:
SrNbH2: relaxed, GGA-PBE.

- energy above the lowest structure with this stoichiometry (eV/atom) = 0.854
- SG = Fm-3m, No. 225

Geometry as CIF:
```
data_SrNbH2
_chemical_formula_sum 'Sr4 Nb4 H8'
_cell_length_a 6.120
_cell_length_b 6.120
_cell_length_c 6.120
_cell_angle_alpha 90.00
_cell_angle_beta 90.00
_cell_angle_gamma 90.00
_space_group_name_H-M_alt 'P 1'
_space_group_IT_number 1
loop_
_space_group_symop_operation_xyz
'x,y,z'
loop_
_atom_site_label
_atom_site_type_symbol
_atom_site_fract_x
_atom_site_fract_y
_atom_site_fract_z
Sr1 Sr 0.000 0.000 0.000
Sr2 Sr 0.000 0.500 0.500
Sr3 Sr 0.500 0.000 0.500
Sr4 Sr 0.500 0.500 0.000
Nb1 Nb 0.000 0.000 0.500
Nb2 Nb 0.000 0.500 0.000
Nb3 Nb 0.500 0.000 0.000
Nb4 Nb 0.500 0.500 0.500
H1 H 0.250 0.250 0.250
H2 H 0.250 0.250 0.750
H3 H 0.250 0.750 0.250
H4 H 0.250 0.750 0.750
H5 H 0.750 0.250 0.250
H6 H 0.750 0.250 0.750
H7 H 0.750 0.750 0.250
H8 H 0.750 0.750 0.750
```

---

Entry 3:
TiVNi2H: relaxed, GGA-PBE.

- energy above the lowest structure with this stoichiometry (eV/atom) = 0.000
- SG = P4/mmm, No. 123

Geometry as CIF:
```
data_TiVNi2H
_chemical_formula_sum 'Ti1 V1 Ni2 H1'
_cell_length_a 3.637
_cell_length_b 3.637
_cell_length_c 3.954
_cell_angle_alpha 90.00
_cell_angle_beta 90.00
_cell_angle_gamma 90.00
_space_group_name_H-M_alt 'P 1'
_space_group_IT_number 1
loop_
_space_group_symop_operation_xyz
'x,y,z'
loop_
_atom_site_label
_atom_site_type_symbol
_atom_site_fract_x
_atom_site_fract_y
_atom_site_fract_z
Ti1 Ti 0.000 0.000 0.000
V1 V 0.500 0.500 0.000
Ni1 Ni 0.000 0.500 0.500
Ni2 Ni 0.500 0.000 0.500
H1 H 0.500 0.500 0.500
```

---

Entry 4:
BaMg2W: relaxed, GGA-PBE.

- energy above the lowest structure with this stoichiometry (eV/atom) = 0.097
- ΔE_f (meV/atom) = 715
- SG = P4mm, No. 99

Geometry as CIF:
```
data_BaMg2W
_chemical_formula_sum 'Ba1 Mg2 W1'
_cell_length_a 3.067
_cell_length_b 3.067
_cell_length_c 10.282
_cell_angle_alpha 90.00
_cell_angle_beta 90.00
_cell_angle_gamma 90.00
_space_group_name_H-M_alt 'P 1'
_space_group_IT_number 1
loop_
_space_group_symop_operation_xyz
'x,y,z'
loop_
_atom_site_label
_atom_site_type_symbol
_atom_site_fract_x
_atom_site_fract_y
_atom_site_fract_z
Ba1 Ba 0.000 0.000 0.000
Mg1 Mg 0.000 0.000 0.537
Mg2 Mg 0.500 0.500 0.306
W1 W 0.500 0.500 0.729
```

---

Entry 5:
Sr2Ca4Bi3H2: relaxed, GGA-PBE.

- SG = I4/mmm, No. 139
- VASP energy (eV/cell) = -38.193

Geometry as CIF:
```
data_Sr2Ca4Bi3H2
_chemical_formula_sum 'Sr2 Ca4 Bi3 H2'
_cell_length_a 13.502
_cell_length_b 13.502
_cell_length_c 13.502
_cell_angle_alpha 158.89
_cell_angle_beta 158.89
_cell_angle_gamma 30.03
_space_group_name_H-M_alt 'P 1'
_space_group_IT_number 1
loop_
_space_group_symop_operation_xyz
'x,y,z'
loop_
_atom_site_label
_atom_site_type_symbol
_atom_site_fract_x
_atom_site_fract_y
_atom_site_fract_z
Sr1 Sr 0.197 0.197 0.000
Sr2 Sr 0.803 0.803 0.000
Ca1 Ca 0.080 0.580 0.500
Ca2 Ca 0.420 0.920 0.500
Ca3 Ca 0.580 0.080 0.500
Ca4 Ca 0.920 0.420 0.500
Bi1 Bi 0.330 0.330 0.000
Bi2 Bi 0.500 0.500 0.000
Bi3 Bi 0.670 0.670 0.000
H1 H 0.095 0.095 0.000
H2 H 0.905 0.905 0.000
```